Record 1
Compound: CrInAs
Source: Alexandria
Functional: GGA-PBE
Structure: relaxed

Summary:
For the density, the calculation gives 6.6 Mg/m³. As for the symmetry: No. 2. Its density of states at the Fermi level is 0.39 states/eV per atom. The total moment comes out at 0.00 μB/f.u. The calculated formation energy comes out at 0.101 eV/atom. The value obtained for the energy above the most stable polymorph in this dataset is 0.085 eV/atom.

a b c (Å): 3.0584 3.4470 11.6546
angles (deg): 98.46 90.07 90.01
Last column: nearest neighbours and their distance in Å.
Positions (direct):
Cr: 0.0006 0.0435 0.0843  1 Cr 1.94
Cr: 0.9994 0.9565 0.9157  1 Cr 1.94
In: 0.4928 0.8123 0.6243  2 As 2.99, 4 In 3.06-3.35
In: 0.5072 0.1877 0.3757  2 As 2.99, 4 In 3.06-3.35
As: 0.4989 0.4168 0.8362  4 Cr 2.48
As: 0.5011 0.5832 0.1638  4 Cr 2.48

---

Record 2
Compound: ZnCdCu2
Source: Alexandria
Functional: GGA-PBE
Structure: relaxed

Summary:
For the density, the calculation gives 8.5 Mg/m³. As for the symmetry: No. 166. Its density of states at the Fermi level is 0.21 states/eV per atom. The total moment comes out at 0.00 μB/f.u. The calculated formation energy comes out at 0.056 eV/atom.

a b c (Å): 8.9943 8.9943 8.9943
angles (deg): 17.88 17.88 17.88
Last column: nearest neighbours and their distance in Å.
Positions (direct):
Zn: 0.0000 0.0000 0.0000  6 Cu 2.61, 6 Zn 2.79
Cd: 0.5000 0.5000 0.5000  6 Cd 2.79, 6 Cu 2.87
Cu: 0.2560 0.2560 0.2560  3 Zn 2.61, 6 Cu 2.79, 3 Cd 2.87
Cu: 0.7440 0.7440 0.7440  3 Zn 2.61, 6 Cu 2.79, 3 Cd 2.87

---

Which value of calculated formation energy does entry 2 give?
0.056 eV/atom

---

total moment of number 1 (CrInAs)?
0.00 μB/f.u.

---

Among the records above, which one has the highest calculated formation energy?
CrInAs